A relaxed TaAlGa2Ge crystal, computed with PBEsol.

The formation energy comes out at 5.1 eV per formula unit. For the total energy, the calculation gives -4.642 eV/atom. The density of states at the Fermi level comes out at 4.06 states/eV/f.u.

The space group is P4/mmm (No. 123) and the conventional cell measures 4.570, 4.570 and 5.008 Å, with angles of 90.00, 90.00 and 90.00 degrees. The asymmetric unit holds Ta at (0.000, 0.000, 0.000), Al at (0.000, 0.000, 0.500), Ga at (0.000, 0.500, 0.500) and Ge at (0.500, 0.500, 0.000).